No. 1
Material: Ac2Sm4Sb3N2
Method: DFT, PBE
State: optimized geometry

a = 4.8387 Å, b = 4.8387 Å, c = 13.6967 Å
α = 100.17°, β = 100.17°, γ = 90.00°
With the nearest neighbours (Å) after each atom.
Fractional positions:
Sb (0.1719, 0.1719, 0.3438)  4 Sm 3.44, 5 Ac 3.46-3.62
Sb (0.0000, 0.0000, 0.0000)  8 Sm 3.21
Sb (0.8281, 0.8281, 0.6562)  4 Sm 3.44, 5 Ac 3.46-3.62
Sm (0.5796, 0.0796, 0.1592)  2 N 2.47
Sm (0.4204, 0.9204, 0.8408)  2 N 2.47
Sm (0.9204, 0.4204, 0.8408)  2 N 2.47
Sm (0.0796, 0.5796, 0.1592)  2 N 2.47
N (0.4019, 0.4019, 0.8039)  4 Sm 2.47, 1 Ac 2.48
N (0.5981, 0.5981, 0.1961)  4 Sm 2.47, 1 Ac 2.48
Ac (0.3083, 0.3083, 0.6166)  1 N 2.48
Ac (0.6917, 0.6917, 0.3834)  1 N 2.48

Summary:
As for the formation energy without anion corrections: -1.173 eV per atom. As for the space group: I4/mmm.



No. 2
Material: BeTcSb2
Method: DFT, PBE
State: optimized geometry

a = 6.9780 Å, b = 6.9780 Å, c = 6.9780 Å
α = 151.75°, β = 150.53°, γ = 41.28°
With the nearest neighbours (Å) after each atom.
Fractional positions:
Be (0.6981, 0.1981, 0.5000)  2 Tc 2.31, 4 Sb 2.54
Sb (0.2477, 0.7477, 0.5000)  4 Be 2.54, 2 Tc 2.84
Sb (0.9760, 0.9760, 0.0000)  4 Tc 2.80
Tc (0.5783, 0.5783, 0.0000)  2 Be 2.31

Summary:
As for the formation energy without anion corrections: 0.181 eV per atom. As for the space group: Imm2.



No. 3
Material: ScCdB
Method: DFT, PBE
State: optimized geometry

a = 3.8150 Å, b = 5.6797 Å, c = 4.9888 Å
α = 90.00°, β = 90.00°, γ = 90.00°
With the nearest neighbours (Å) after each atom.
Fractional positions:
B (0.9799, 0.1431, 0.9831)  3 Cd 2.30-2.47, 3 Sc 2.35
B (0.4799, 0.6431, 0.4597)  3 Cd 2.30-2.47, 3 Sc 2.35
Sc (0.9799, 0.4815, 0.2531)  3 B 2.35
Sc (0.4799, 0.9815, 0.1897)  3 B 2.35
Cd (0.9798, 0.8299, 0.6901)  3 B 2.30-2.47
Cd (0.4799, 0.3298, 0.7526)  3 B 2.30-2.47

Summary:
As for the space group: Pmn2_1. The energy relative to the lowest polymorph listed for this composition is 571.9 meV/atom. Its formation energy is 0.08 eV per atom.



No. 4
Material: Rb3U2TiTe6
Method: DFT, PBE
State: optimized geometry

a = 7.6274 Å, b = 7.6274 Å, c = 8.9965 Å
α = 98.15°, β = 98.15°, γ = 120.02°
With the nearest neighbours (Å) after each atom.
Fractional positions:
Te (0.2497, 0.2497, 0.8019)  1 Ti 2.95, 2 U 3.11
Te (0.7503, 0.7503, 0.1981)  1 Ti 2.95, 2 U 3.11
Te (0.0650, 0.3814, 0.1959)  1 Ti 2.94, 2 U 3.11
Te (0.6186, 0.9350, 0.8041)  1 Ti 2.94, 2 U 3.11
Te (0.3814, 0.0650, 0.1959)  1 Ti 2.94, 2 U 3.11
Te (0.9350, 0.6186, 0.8041)  1 Ti 2.94, 2 U 3.11
Rb (0.1716, 0.8284, 0.5000)  6 Te 3.61-3.70
Rb (0.5000, 0.5000, 0.5000)  6 Te 3.61-3.74
Rb (0.8284, 0.1716, 0.5000)  6 Te 3.61-3.70
U (0.6659, 0.3341, 0.0000)  6 Te 3.11
U (0.3341, 0.6659, 0.0000)  6 Te 3.11
Ti (0.0000, 0.0000, 0.0000)  6 Te 2.94-2.95

Summary:
As for the formation energy without anion corrections: -0.828 eV per atom. As for the space group: C2/m.



| no. | uncorrected energy (eV per atom) |
| --- | --- |
| 1 | -6.274 |
| 2 | -5.404 |
| 3 | -4.559 |
| 4 | -5.180 |